TeIr3S | GGA-PBEsol | optimized geometry

Space group: Pm-3m
Total magnetization, μB/f.u.: 0.0
Volume, Å³ per atom: 17.54
ΔE_f (raw), meV per atom: 911.5
Crystal system: cubic

a b c (Å): 4.443 4.443 4.443
angles (deg): 90.00 90.00 90.00
Sites, in units of the cell vectors:
Te: 0.500 0.500 0.500
S: 0.000 0.000 0.000
Ir: 0.000 0.500 0.000
Ir: 0.000 0.000 0.500
Ir: 0.500 0.000 0.000

Sn2HgH | GGA-PBEsol | optimized geometry

Space group: Fm-3m
Total magnetization, μB/f.u.: 0.0
Volume, Å³ per atom: 19.97
Crystal system: cubic

a b c (Å): 4.834 4.834 4.834
angles (deg): 60.00 60.00 60.00
Sites, in units of the cell vectors:
Sn: 0.250 0.250 0.250
Sn: 0.750 0.750 0.750
H: 0.000 0.000 0.000
Hg: 0.500 0.500 0.500

BeSbOs2 | GGA-PBEsol | optimized geometry

Space group: P2/m
Total magnetization, μB/f.u.: 0.0
Volume, Å³ per atom: 14.26
ΔE_f (raw), meV per atom: 362.4
Crystal system: monoclinic

a b c (Å): 2.945 3.714 5.368
angles (deg): 90.00 103.69 90.00
Sites, in units of the cell vectors:
Be: 0.500 0.500 0.500
Sb: 0.500 0.500 0.000
Os: 0.855 0.000 0.716
Os: 0.145 0.000 0.284

In2HCl | GGA-PBEsol | optimized geometry

Space group: Fm-3m
Total magnetization, μB/f.u.: 0.0
Volume, Å³ per atom: 21.77
Crystal system: cubic

a b c (Å): 4.975 4.975 4.975
angles (deg): 60.00 60.00 60.00
Sites, in units of the cell vectors:
In: 0.750 0.750 0.750
In: 0.250 0.250 0.250
H: 0.000 0.000 0.000
Cl: 0.500 0.500 0.500

Electronic total energy readings, ordered: -6.565 -2.741 -7.885 -2.775 eV/atom